VASP calculation (PBE+U) on CaPa2MoO8 after structural relaxation.

Cell: 4.969 4.972 7.124 Å, 89.57 90.43 89.44°
Atoms (fractional coordinates):
O  0.297  0.296  0.000
O  0.321  0.321  0.500
Pa  0.501  0.499  0.249
O  0.679  0.679  0.500
Pa  0.499  0.501  0.751
O  0.807  0.194  0.781
Ca  0.000  0.000  0.500
Mo  0.000  0.000  0.000
O  0.201  0.799  0.774
O  0.799  0.201  0.226
O  0.193  0.806  0.219
O  0.703  0.704  0.000

Values from the calculation:
Crystal system: monoclinic
Spin magnetization (μB/cell): 2.0
Uncorrected energy (eV/atom): -8.6859